Entry 1:
First-principles (PBE) data for a geometry-optimized Rb3Cd2Pb9 structure, as listed in Alexandria.

Geometry as POSCAR:
```
Rb3Cd2Pb9
1.0
-2.587 6.353 7.419
2.587 -6.353 7.419
2.587 6.353 -7.419
Rb Cd Pb
3 2 9
direct
0.000 0.000 0.000
0.282 0.282 0.000
0.718 0.718 0.000
0.347 0.500 0.847
0.653 0.500 0.153
0.023 0.375 0.649
0.139 0.845 0.294
0.274 0.625 0.649
0.449 0.155 0.294
0.500 0.000 0.500
0.551 0.845 0.706
0.726 0.375 0.351
0.861 0.155 0.706
0.977 0.625 0.351
```

Results
E (eV/atom): -2.80
Energy relative to the elements (eV/atom): -0.08

Entry 2:
First-principles (PBE) data for a geometry-optimized Pm2Dy3TmSb6 structure, as listed in Alexandria.

Geometry as POSCAR:
```
Pm2Dy3TmSb6
1.0
9.616 -2.207 0.000
9.616 2.207 0.000
-2.022 0.000 8.589
Pm Dy Tm Sb
2 3 1 6
direct
0.166 0.166 0.332
0.834 0.834 0.668
0.168 0.168 0.834
0.500 0.500 0.500
0.832 0.832 0.166
0.500 0.500 0.000
0.002 0.002 0.754
0.335 0.335 0.413
0.335 0.335 0.923
0.665 0.665 0.077
0.665 0.665 0.587
0.998 0.998 0.246
```

Results
Raw formation energy (eV per atom): -1.136
E (eV/atom): -5.51

Entry 3:
First-principles (PBE) data for a geometry-optimized AcLaTm structure, as listed in Alexandria.

Geometry as POSCAR:
```
AcLaTm
1.0
5.880 0.000 0.000
-2.940 5.093 0.000
0.000 0.000 3.689
Ac La Tm
1 1 1
direct
0.000 0.000 0.000
0.333 0.667 0.500
0.667 0.333 0.500
```

Results
E (eV/atom): -4.43
Offset from the most stable computed form (eV per formula unit): 0.05
Energy relative to the elements (eV/atom): 0.07

no.,N(E_F) (states/eV/f.u.)
1,5.96
2,1.92
3,4.38